An optimized crystal structure of AlZn3, computed with PBE.

Lattice parameters (Å, degrees): 2.8428 3.9171 5.5880 90.00 90.00 90.00
Last column: nearest neighbours and their distance in Å.
Positions (direct):
Al  0.0000  0.0000  0.0000  10 Zn 2.79-2.80, 2 Al 2.84
Zn  0.5000  0.5000  0.2532  8 Zn 2.76-2.84, 4 Al 2.80
Zn  0.0000  0.0000  0.5000  10 Zn 2.79-2.84, 2 Al 2.79
Zn  0.5000  0.5000  0.7468  8 Zn 2.76-2.84, 4 Al 2.80

## Properties
magnetic moment = 0.00 μB per atom
energy relative to the elements = 0.017 eV per atom
DOS at the Fermi energy = 0.60 states/eV/cell
crystal system = orthorhombic